# 1
# PBE-GGA NdSm3Th4As8, relaxed
data_NdSm3Th4As8
_chemical_formula_sum 'Nd3 Sm9 Th12 As24'
_cell_length_a 8.4988
_cell_length_b 8.4988
_cell_length_c 20.7110
_cell_angle_alpha 90.00
_cell_angle_beta 90.00
_cell_angle_gamma 120.00
_space_group_name_H-M_alt 'R -3 m'
_space_group_IT_number 166
_space_group_name_Hall '-R 3 2"'
loop_
_atom_site_label
_atom_site_fract_x
_atom_site_fract_y
_atom_site_fract_z
Nd1 0.0000 0.0000 0.0000
Sm1 0.0000 0.5000 0.0000
Th1 0.0000 0.0000 0.5000
Th2 0.0000 0.5000 0.5000
As1 0.0000 0.0000 0.2501
As2 0.0014 0.5007 0.2498
# * crystal system: trigonal
# * formation enthalpy at 0 K: -1.476 eV/atom
# * DOS(E_F): 0.50 states/eV per atom

---

# 2
# PBE-GGA LiPuMgSn2, relaxed
data_LiPuMgSn2
_chemical_formula_sum 'Li1 Pu1 Mg1 Sn2'
_cell_length_a 4.9400
_cell_length_b 4.9400
_cell_length_c 6.3841
_cell_angle_alpha 90.00
_cell_angle_beta 90.00
_cell_angle_gamma 120.00
_space_group_name_H-M_alt 'P 3 m 1'
_space_group_IT_number 156
_space_group_name_Hall 'P 3 -2"'
loop_
_atom_site_label
_atom_site_fract_x
_atom_site_fract_y
_atom_site_fract_z
Li1 0.0000 0.0000 0.0000
Pu1 0.3333 0.6667 0.6792
Mg1 0.6667 0.3333 0.3460
Sn1 0.0000 0.0000 0.4672
Sn2 0.6667 0.3333 0.8876
# * crystal system: trigonal
# * formation enthalpy at 0 K: -0.132 eV/atom
# * DOS(E_F): 2.87 states/eV per atom

---

# 3
# PBE-GGA FeNi3Bi, relaxed
data_FeNi3Bi
_chemical_formula_sum 'Fe1 Ni3 Bi1'
_cell_length_a 4.391
_cell_length_b 4.391
_cell_length_c 4.391
_cell_angle_alpha 90.00
_cell_angle_beta 90.00
_cell_angle_gamma 90.00
_space_group_name_H-M_alt 'P m -3 m'
_space_group_IT_number 221
_space_group_name_Hall '-P 4 2 3'
loop_
_atom_site_label
_atom_site_fract_x
_atom_site_fract_y
_atom_site_fract_z
Fe1 0.000 0.000 0.000
Ni1 0.000 0.000 0.500
Bi1 0.500 0.500 0.500
# * crystal system: cubic
# * relative energy among the computed polymorphs: 0 meV/atom
# * formation enthalpy at 0 K: 0.720 eV/atom
# * DOS(E_F): 0.87 states/eV per atom

---

# 4
# PBE-GGA CaCe2Tl2Cd2, relaxed
data_CaCe2Tl2Cd2
_chemical_formula_sum 'Ca3 Ce6 Tl6 Cd6'
_cell_length_a 4.9002
_cell_length_b 4.9002
_cell_length_c 27.8995
_cell_angle_alpha 90.00
_cell_angle_beta 90.00
_cell_angle_gamma 120.00
_space_group_name_H-M_alt 'R -3 m'
_space_group_IT_number 166
_space_group_name_Hall '-R 3 2"'
loop_
_atom_site_label
_atom_site_fract_x
_atom_site_fract_y
_atom_site_fract_z
Ca1 0.0000 0.0000 0.0000
Ce1 0.0000 0.0000 0.1462
Tl1 0.0000 0.0000 0.2697
Cd1 0.0000 0.0000 0.4271
# * crystal system: trigonal
# * formation enthalpy at 0 K: -0.144 eV/atom
# * DOS(E_F): 1.61 states/eV per atom

---

# 5
# PBE-GGA PbAuI2O, relaxed
data_PbAuI2O
_chemical_formula_sum 'Pb1 Au1 I2 O1'
_cell_length_a 6.127
_cell_length_b 6.127
_cell_length_c 4.157
_cell_angle_alpha 90.00
_cell_angle_beta 90.00
_cell_angle_gamma 90.00
_space_group_name_H-M_alt 'P 4/m m m'
_space_group_IT_number 123
_space_group_name_Hall '-P 4 2'
loop_
_atom_site_label
_atom_site_fract_x
_atom_site_fract_y
_atom_site_fract_z
Pb1 0.000 0.000 0.000
Au1 0.500 0.500 0.500
I1 0.000 0.500 0.000
O1 0.000 0.000 0.500
# * uncorrected formation energy: 0.147 eV per atom
# * crystal system: tetragonal
# * relative energy among the computed polymorphs: 125 meV/atom
# * DOS(E_F): 0.16 states/eV per atom

---

# 6
# PBE-GGA ZnHRu, relaxed
data_ZnHRu
_chemical_formula_sum 'Zn4 H4 Ru4'
_cell_length_a 8.433
_cell_length_b 2.795
_cell_length_c 5.381
_cell_angle_alpha 90.00
_cell_angle_beta 90.00
_cell_angle_gamma 90.00
_space_group_name_H-M_alt 'P n m a'
_space_group_IT_number 62
_space_group_name_Hall '-P 2ac 2n'
loop_
_atom_site_label
_atom_site_fract_x
_atom_site_fract_y
_atom_site_fract_z
Zn1 0.106 0.250 0.139
H1 0.185 0.750 0.813
Ru1 0.118 0.250 0.629
# * crystal system: orthorhombic
# * relative energy among the computed polymorphs: 164 meV/atom
# * DOS(E_F): 0.73 states/eV per atom